AlTlIr | PBE-GGA | optimized geometry

The density is 11.82 Mg/m³. As for the electronic total energy: -0.1807 hartree per atom.

a b c (Å): 4.2041 4.2041 3.8863
angles (deg): 90.00 90.00 120.00
Closest atoms and distances in Å follow each position.
Atoms (fractional coordinates):
Tl1 0.3333 0.6667 0.6668  6 Ir 3.11, 6 Al 3.11
Ir1 0.6667 0.3333 0.1661  3 Al 2.43
Al1 0.0000 0.0000 0.1672  3 Ir 2.43


Al2TlIr | PBE-GGA | optimized geometry

The density is 9.06 Mg/m³. As for the electronic total energy: -0.1768 hartree per atom.

a b c (Å): 4.1731 4.1731 7.0380
angles (deg): 78.67 78.67 43.56
Closest atoms and distances in Å follow each position.
Atoms (fractional coordinates):
Tl1 0.2500 0.2500 0.2500  2 Tl 3.10, 6 Al 3.16-3.28
Ir1 0.7500 0.7500 0.7500  6 Al 2.51-2.55
Al1 0.4889 0.4889 0.5830  3 Ir 2.51-2.55
Al2 0.0111 0.0111 0.9170  3 Ir 2.51-2.55


Al2TlIr | PBE-GGA | optimized geometry

The density is 9.96 Mg/m³. As for the electronic total energy: -0.1741 hartree per atom.

a b c (Å): 3.0099 3.8373 6.5045
angles (deg): 90.00 90.00 90.00
Closest atoms and distances in Å follow each position.
Atoms (fractional coordinates):
Tl1 0.5000 0.5000 0.7525  5 Al 2.96-3.06, 2 Tl 3.01, 4 Ir 3.29
Ir1 0.0000 0.0000 0.4139  5 Al 2.45-2.55
Al1 0.0000 0.0000 0.0370  1 Ir 2.45
Al2 0.5000 0.5000 0.2967  4 Ir 2.55